Version a
Entry from Alexandria: an optimized crystal structure of LaCe3Al8 (GGA-PBE).

abc: 9.7867 9.7867 9.7867
angles: 33.60 33.60 33.60
Fractional coordinates of all 12 atoms:
La1 0.0000 0.0000 0.0000
Ce1 0.1265 0.1265 0.1265
Ce2 0.5004 0.5004 0.5004
Ce3 0.6238 0.6238 0.6238
Al1 0.0627 0.0627 0.5609
Al2 0.0627 0.5609 0.0627
Al3 0.0636 0.5635 0.5635
Al4 0.3125 0.3125 0.3125
Al5 0.5609 0.0627 0.0627
Al6 0.5635 0.0636 0.5635
Al7 0.5635 0.5635 0.0636
Al8 0.8127 0.8127 0.8127

Output
- total moment (μB/cell) = 2.8
- DOS at the Fermi energy (states/eV per cell) = 18.7

=====

Version b
Entry from Alexandria: an optimized crystal structure of LaCe3Al8 (GGA-PBE).

abc: 5.6825 5.6825 9.0815
angles: 90.00 90.00 120.00
Fractional coordinates of all 12 atoms:
La1 0.0000 0.0000 0.0000
Ce1 0.0000 0.0000 0.3553
Ce2 0.6667 0.3333 0.5132
Ce3 0.6667 0.3333 0.8365
Al1 0.1614 0.3229 0.6736
Al2 0.1614 0.8386 0.6736
Al3 0.3333 0.6667 0.4272
Al4 0.3333 0.6667 0.9235
Al5 0.5054 0.0108 0.1800
Al6 0.5054 0.4946 0.1800
Al7 0.6771 0.8386 0.6736
Al8 0.9892 0.4946 0.1800

Output
- total moment (μB/cell) = 1.2
- DOS at the Fermi energy (states/eV per cell) = 14.8

=====

Which structure is the most stable? The one labeled version a.

=====

Version a
Entry from Alexandria: an optimized crystal structure of LaCeAl2 (GGA-PBE).

abc: 3.7345 3.7345 7.4833
angles: 90.00 90.00 90.00
Fractional coordinates of all 4 atoms:
La1 0.0000 0.0000 0.0000
Ce1 0.0000 0.0000 0.5000
Al1 0.5000 0.5000 0.2586
Al2 0.5000 0.5000 0.7414

Output
- total moment (μB/cell) = 0.8
- DOS at the Fermi energy (states/eV per cell) = 6.6

=====

Version b
Entry from Alexandria: an optimized crystal structure of LaCeAl2 (GGA-PBE).

abc: 5.2874 5.2874 5.2874
angles: 60.00 60.00 60.00
Fractional coordinates of all 4 atoms:
La1 0.0000 0.0000 0.0000
Ce1 0.5000 0.5000 0.5000
Al1 0.2500 0.2500 0.2500
Al2 0.7500 0.7500 0.7500

Output
- total moment (μB/cell) = 0.8
- DOS at the Fermi energy (states/eV per cell) = 6.3

=====

Version c
Entry from Alexandria: an optimized crystal structure of LaCeAl2 (GGA-PBE).

abc: 4.2072 4.6602 10.8943
angles: 90.00 101.13 90.00
Fractional coordinates of all 8 atoms:
La1 0.1893 0.2500 0.3791
La2 0.8107 0.7500 0.6209
Ce1 0.4564 0.7500 0.9117
Ce2 0.5436 0.2500 0.0883
Al1 0.0720 0.7500 0.1447
Al2 0.3517 0.2500 0.7024
Al3 0.6483 0.7500 0.2976
Al4 0.9280 0.2500 0.8553

Output
- total moment (μB/cell) = 1.1
- DOS at the Fermi energy (states/eV per cell) = 11.1

=====

Which structure is the most stable? The one labeled version c.

=====

Version a
Entry from Alexandria: an optimized crystal structure of La3CeAl8 (GGA-PBE).

abc: 5.7197 5.7197 9.3690
angles: 90.00 90.00 120.00
Fractional coordinates of all 12 atoms:
La1 0.0000 0.0000 0.0000
La2 0.0000 0.0000 0.3630
La3 0.3333 0.6667 0.8569
Ce1 0.3333 0.6667 0.5031
Al1 0.0096 0.5048 0.1836
Al2 0.3252 0.1626 0.6774
Al3 0.4952 0.5048 0.1836
Al4 0.4952 0.9904 0.1836
Al5 0.6667 0.3333 0.4321
Al6 0.6667 0.3333 0.9320
Al7 0.8374 0.1626 0.6774
Al8 0.8374 0.6748 0.6774

Output
- total moment (μB/cell) = 0.5
- DOS at the Fermi energy (states/eV per cell) = 12.1

=====

Version b
Entry from Alexandria: an optimized crystal structure of La3CeAl8 (GGA-PBE).

abc: 9.9076 9.9076 9.9076
angles: 33.59 33.59 33.59
Fractional coordinates of all 12 atoms:
La1 0.0000 0.0000 0.0000
La2 0.1261 0.1261 0.1261
La3 0.6251 0.6251 0.6251
Ce1 0.5006 0.5006 0.5006
Al1 0.0621 0.0621 0.5623
Al2 0.0621 0.5623 0.0621
Al3 0.0653 0.5630 0.5630
Al4 0.3131 0.3131 0.3131
Al5 0.5623 0.0621 0.0621
Al6 0.5630 0.0653 0.5630
Al7 0.5630 0.5630 0.0653
Al8 0.8131 0.8131 0.8131

Output
- total moment (μB/cell) = 0.8
- DOS at the Fermi energy (states/eV per cell) = 11.3

=====

Which structure is the most stable? The one labeled version b.

=====

Version a
Entry from Alexandria: an optimized crystal structure of LiCeAl (GGA-PBE).

abc: 4.9501 4.9501 3.0432
angles: 90.00 90.00 120.00
Fractional coordinates of all 3 atoms:
Li1 0.0000 0.0000 0.0000
Ce1 0.6667 0.3333 0.5031
Al1 0.3333 0.6667 0.0041

Output
- total moment (μB/cell) = 1.1
- DOS at the Fermi energy (states/eV per cell) = 5.7

=====

Version b
Entry from Alexandria: an optimized crystal structure of LiCeAl (GGA-PBE).

abc: 7.0146 7.0146 7.0146
angles: 155.15 155.15 35.43
Fractional coordinates of all 3 atoms:
Li1 0.0000 0.0000 0.0000
Ce1 0.6985 0.6985 0.0000
Al1 0.3713 0.3713 0.0000

Output
- total moment (μB/cell) = 0.0
- DOS at the Fermi energy (states/eV per cell) = 3.5

=====

Version c
Entry from Alexandria: an optimized crystal structure of LiCeAl (GGA-PBE).

abc: 4.3378 4.3378 7.2884
angles: 90.00 90.00 90.00
Fractional coordinates of all 6 atoms:
Li1 0.2500 0.2500 0.2066
Li2 0.7500 0.7500 0.7934
Ce1 0.2500 0.2500 0.6683
Ce2 0.7500 0.7500 0.3317
Al1 0.2500 0.7500 0.0000
Al2 0.7500 0.2500 0.0000

Output
- total moment (μB/cell) = 3.9
- DOS at the Fermi energy (states/eV per cell) = 11.4

=====

Which structure is the most stable? The one labeled version a.

=====

Version a
Entry from Alexandria: an optimized crystal structure of Ce2MgAl (GGA-PBE).

abc: 3.9784 3.9784 6.6214
angles: 90.00 90.00 90.00
Fractional coordinates of all 4 atoms:
Ce1 0.0000 0.0000 0.2098
Ce2 0.0000 0.0000 0.7902
Mg1 0.5000 0.5000 0.5000
Al1 0.5000 0.5000 0.0000

Output
- total moment (μB/cell) = 1.3
- DOS at the Fermi energy (states/eV per cell) = 9.3

=====

Version b
Entry from Alexandria: an optimized crystal structure of Ce2MgAl (GGA-PBE).

abc: 4.4384 4.4384 4.8410
angles: 90.00 90.00 90.00
Fractional coordinates of all 4 atoms:
Ce1 0.0000 0.5000 0.0000
Ce2 0.5000 0.0000 0.0000
Mg1 0.0000 0.0000 0.5000
Al1 0.5000 0.5000 0.5000

Output
- total moment (μB/cell) = 0.0
- DOS at the Fermi energy (states/eV per cell) = 7.6

=====

Which structure is the most stable? The one labeled version b.

=====

Version a
Entry from Alexandria: an optimized crystal structure of Ce2MnAl (GGA-PBE).

abc: 8.1376 8.1376 8.1376
angles: 26.39 26.39 26.39
Fractional coordinates of all 4 atoms:
Ce1 0.2314 0.2314 0.2314
Ce2 0.7686 0.7686 0.7686
Mn1 0.5000 0.5000 0.5000
Al1 0.0000 0.0000 0.0000

Output
- total moment (μB/cell) = 0.0
- DOS at the Fermi energy (states/eV per cell) = 5.8

=====

Version b
Entry from Alexandria: an optimized crystal structure of Ce2MnAl (GGA-PBE).

abc: 4.3367 4.3367 4.5311
angles: 90.00 90.00 90.00
Fractional coordinates of all 4 atoms:
Ce1 0.0000 0.5000 0.0000
Ce2 0.5000 0.0000 0.0000
Mn1 0.0000 0.0000 0.5000
Al1 0.5000 0.5000 0.5000

Output
- total moment (μB/cell) = 1.8
- DOS at the Fermi energy (states/eV per cell) = 7.0

=====

Version c
Entry from Alexandria: an optimized crystal structure of Ce2MnAl (GGA-PBE).

abc: 3.6648 3.6648 6.5489
angles: 90.00 90.00 90.00
Fractional coordinates of all 4 atoms:
Ce1 0.0000 0.0000 0.2225
Ce2 0.0000 0.0000 0.7775
Mn1 0.5000 0.5000 0.0000
Al1 0.5000 0.5000 0.5000

Output
- total moment (μB/cell) = 1.1
- DOS at the Fermi energy (states/eV per cell) = 8.1

=====

Version d
Entry from Alexandria: an optimized crystal structure of Ce2MnAl (GGA-PBE).

abc: 5.6432 5.9925 11.5536
angles: 90.00 117.40 90.00
Fractional coordinates of all 16 atoms:
Ce1 0.0470 0.2373 0.1056
Ce2 0.0470 0.2627 0.6056
Ce3 0.3512 0.1957 0.3917
Ce4 0.3512 0.3043 0.8917
Ce5 0.6488 0.6957 0.1083
Ce6 0.6488 0.8043 0.6083
Ce7 0.9530 0.7373 0.3944
Ce8 0.9530 0.7627 0.8944
Mn1 0.4500 0.0087 0.0998
Mn2 0.4500 0.4913 0.5998
Mn3 0.5500 0.5087 0.4002
Mn4 0.5500 0.9913 0.9002
Al1 0.2656 0.7418 0.7191
Al2 0.2656 0.7582 0.2191
Al3 0.7344 0.2418 0.7809
Al4 0.7344 0.2582 0.2809

Output
- total moment (μB/cell) = 0.0
- DOS at the Fermi energy (states/eV per cell) = 25.9

=====

Which structure is the most stable? The one labeled version d.